Here is an optimized crystal structure of Zn2CoAsO6 from Alexandria via LeMat-Bulk. Energies are from PBE with a Hubbard U.

Cell and atoms, written as POSCAR:
```
Zn2CoAsO6
1.0
-0.961 1.741 4.646
-0.451 -5.852 2.822
6.167 -0.221 2.081
Zn Co As O
4 2 2 12
Direct
0.201 0.787 0.589 Zn
0.299 0.411 0.213 Zn
0.799 0.213 0.411 Zn
0.701 0.589 0.787 Zn
0.250 0.917 0.083 Co
0.750 0.083 0.917 Co
0.250 0.261 0.739 As
0.750 0.739 0.261 As
0.110 0.983 0.813 O
0.390 0.187 0.017 O
0.890 0.017 0.187 O
0.610 0.813 0.983 O
0.416 0.869 0.334 O
0.084 0.666 0.131 O
0.584 0.131 0.666 O
0.916 0.334 0.869 O
0.847 0.731 0.521 O
0.653 0.479 0.269 O
0.153 0.269 0.479 O
0.347 0.521 0.731 O
```

Summary:
- magnetization (μB/f.u.) = 0.0
- crystal system = monoclinic
- symmetry = C2/c (15)
- E_tot (Ha/atom) = -0.201